VASP calculation (PBE) on Tb3NdMg6 after structural relaxation.

## Properties
M_tot	0.00	Bohr magnetons per cell
DFT total energy	-2.897	eV per atom
calculated density	4724	kg/m3
energy relative to the elements	-0.074	eV/atom

Lattice parameters (Å, degrees): 5.3122 9.3123 11.3433 106.10 90.00 90.00
With the nearest neighbours (Å) after each atom.
Atoms (fractional coordinates):
Tb1 0.7500 0.6481 0.2028  8 Mg 3.27-3.36
Tb2 0.7500 0.4582 0.6044  8 Mg 3.22-3.39
Tb3 0.2500 0.5418 0.3956  8 Mg 3.22-3.39
Tb4 0.2500 0.7516 0.0027  8 Mg 3.22-3.35
Tb5 0.7500 0.2484 0.9973  8 Mg 3.22-3.35
Tb6 0.2500 0.3519 0.7972  8 Mg 3.27-3.36
Mg1 0.7500 0.5571 0.9000  7 Tb 3.22-3.35, 1 Mg 3.23
Mg2 0.7500 0.7517 0.5067  4 Tb 3.22-3.33, 3 Nd 3.24-3.39, 1 Mg 3.25
Mg3 0.2500 0.0494 0.9046  3 Mg 3.17-3.25, 4 Tb 3.24-3.36, 1 Nd 3.26
Mg4 0.7500 0.3441 0.2935  1 Nd 3.22, 5 Tb 3.23-3.39, 2 Mg 3.24
Mg5 0.2500 0.6559 0.7065  1 Nd 3.22, 5 Tb 3.23-3.39, 2 Mg 3.24
Mg6 0.2500 0.1471 0.1954  8 Mg 3.17-3.26
Mg7 0.7500 0.8529 0.8046  8 Mg 3.17-3.26
Mg8 0.2500 0.8532 0.2982  4 Tb 3.22-3.38, 3 Nd 3.26-3.35, 1 Mg 3.26
Mg9 0.7500 0.9506 0.0954  3 Mg 3.17-3.25, 4 Tb 3.24-3.36, 1 Nd 3.26
Mg10 0.2500 0.4429 0.1000  7 Tb 3.22-3.35, 1 Mg 3.23
Mg11 0.2500 0.2483 0.4933  4 Tb 3.22-3.33, 3 Nd 3.24-3.39, 1 Mg 3.25
Mg12 0.7500 0.1468 0.7018  4 Tb 3.22-3.38, 3 Nd 3.26-3.35, 1 Mg 3.26
Nd1 0.2500 0.9463 0.6057  8 Mg 3.22-3.39
Nd2 0.7500 0.0537 0.3943  8 Mg 3.22-3.39